{
  "formula": "Tb5CdRh4",
  "functional": "PBE",
  "state": "relaxed",
  "formation_enthalpy_0k_mev_per_atom": -746,
  "m_tot_mub_per_atom": 0.00,
  "dft_energy_ev_per_cell": -60.930,
  "lattice_angstrom": [[3.486, 0.000, 0.000], [0.000, 3.486, 0.000], [0.000, 0.000, 17.799]],
  "species": ["Tb", "Tb", "Tb", "Tb", "Tb", "Cd", "Rh", "Rh", "Rh", "Rh"],
  "frac_coords": [[0.000, 0.000, 0.000], [0.000, 0.000, 0.190], [0.000, 0.000, 0.379], [0.000, 0.000, 0.621], [0.000, 0.000, 0.810], [0.500, 0.500, 0.500], [0.500, 0.500, 0.095], [0.500, 0.500, 0.289], [0.500, 0.500, 0.711], [0.500, 0.500, 0.905]]
}